La2SmY2Tm2 | PBE | optimized geometry

```
La2SmY2Tm2
1.0
5.1097 0.0000 0.0000
-2.5549 5.6832 0.2545
0.0000 -1.5430 7.9516
La Tm Y Sm
2 2 2 1
direct
0.1435 0.2870 0.4270
0.8565 0.7130 0.5730
0.7162 0.4324 0.1378
0.2838 0.5676 0.8622
0.4296 0.8593 0.2792
0.5704 0.1407 0.7208
0.0000 0.0000 0.0000
```

Output
Its formation energy from the elements is 0.034 eV/atom. The value obtained for the density of states at the Fermi level is 11.62 states/eV per cell.

---

CeCdPb2 | PBE | optimized geometry

```
CeCdPb2
1.0
-1.1176 -5.1786 -1.2608
3.4337 -2.8428 -3.1280
2.9560 -4.0285 2.1655
Ce Cd Pb
1 1 2
direct
0.0000 0.0000 0.0000
0.5000 0.5000 0.5000
0.2500 0.2500 0.2500
0.7500 0.7500 0.7500
```

Output
Its formation energy from the elements is -0.130 eV/atom. For the polymorph energy (0 for the lowest one), the calculation gives 0.214 eV per atom. The value obtained for the density of states at the Fermi level is 6.99 states/eV per cell.

---

Q: What is the formation energy from the elements in the second record?
A: -0.130 eV/atom